Entry 1:
PBE Ca2GaSe, optimized geometry; polymorph energy (0 for the lowest one) = 1.14 eV per formula unit; raw formation energy = -71.1 kJ per mole of atoms; N(E_F) = 3.42 states/eV/f.u.; E_tot = -3.37 eV per atom; mass density = 3.8 g cm⁻³
1.0
0.0000 3.6984 3.6984
3.6984 0.0000 3.6984
3.6984 3.6984 0.0000
Ca Ga Se
2 1 1
direct
0.2500 0.2500 0.2500
0.7500 0.7500 0.7500
0.0000 0.0000 0.0000
0.5000 0.5000 0.5000

=====

Entry 2:
PBE CaGa2Se, optimized geometry; raw formation energy = -47.4 kJ per mole of atoms; N(E_F) = 2.43 states/eV/f.u.; E_tot = -3.38 eV per atom; mass density = 4.4 g cm⁻³
1.0
-4.1129 4.1129 2.8829
4.1129 -4.1129 2.8829
4.1129 4.1129 -2.8829
Ca Ga Se
2 4 2
direct
0.0000 0.0000 0.0000
0.7500 0.2500 0.5000
0.1569 0.6250 0.0319
0.3750 0.4069 0.5319
0.5931 0.1250 0.9681
0.8750 0.8431 0.4681
0.2500 0.7500 0.5000
0.5000 0.5000 0.0000

=====

Entry 3:
PBE CaGa2Se4, optimized geometry; raw formation energy = -36.2 kJ per mole of atoms; N(E_F) = 5.84 states/eV/f.u.; E_tot = -3.52 eV per atom; mass density = 4.1 g cm⁻³
1.0
-2.7481 2.7481 6.6804
2.7481 -2.7481 6.6804
2.7481 2.7481 -6.6804
Ca Ga Se
1 2 4
direct
0.0000 0.0000 0.0000
0.4093 0.4093 0.0000
0.5907 0.5907 0.0000
0.0000 0.5000 0.5000
0.2383 0.2383 0.0000
0.5000 0.0000 0.5000
0.7617 0.7617 0.0000

=====

Entry 4:
PBE CaGa4Se7, optimized geometry; raw formation energy = -77.0 kJ per mole of atoms; N(E_F) = 0.00 states/eV/f.u.; E_tot = -4.01 eV per atom; mass density = 4.2 g cm⁻³
1.0
15.8326 0.0000 0.0000
0.0000 6.6530 0.0000
0.0000 0.0000 6.4947
Ca Ga Se
2 8 14
direct
0.0000 0.0715 0.0000
0.5000 0.9285 0.5000
0.1220 0.6493 0.8020
0.2485 0.8392 0.2892
0.2515 0.1608 0.7892
0.3780 0.3507 0.3020
0.6220 0.3507 0.3020
0.7485 0.1608 0.7892
0.7515 0.8392 0.2892
0.8780 0.6493 0.8020
0.0000 0.8124 0.6444
0.1119 0.7270 0.1682
0.1157 0.2990 0.6993
0.2462 0.1951 0.1744
0.2538 0.8049 0.6744
0.3843 0.7010 0.1993
0.3881 0.2730 0.6682
0.5000 0.1876 0.1444
0.6119 0.2730 0.6682
0.6157 0.7010 0.1993
0.7462 0.8049 0.6744
0.7538 0.1951 0.1744
0.8843 0.2990 0.6993
0.8881 0.7270 0.1682

=====

Entry 5:
PBE Ca2GaSe, optimized geometry; polymorph energy (0 for the lowest one) = 0.00 eV per formula unit; raw formation energy = -98.7 kJ per mole of atoms; N(E_F) = 2.63 states/eV/f.u.; E_tot = -3.65 eV per atom; mass density = 3.4 g cm⁻³
1.0
2.0085 1.1596 8.0458
-2.0085 1.1596 8.0458
0.0000 -2.3192 8.0458
Ca Ga Se
2 1 1
direct
0.2404 0.2404 0.2404
0.7596 0.7596 0.7596
0.0000 0.0000 0.0000
0.5000 0.5000 0.5000

=====

Entry 6:
PBE CaGa2Se4, optimized geometry; raw formation energy = -96.4 kJ per mole of atoms; N(E_F) = 0.00 states/eV/f.u.; E_tot = -4.14 eV per atom; mass density = 4.5 g cm⁻³
1.0
3.1678 -5.3545 0.0000
3.1678 5.3545 0.0000
0.0000 0.0000 10.7446
Ca Ga Se
2 4 8
direct
0.0000 0.0000 0.2500
0.0000 0.0000 0.7500
0.2630 0.7332 0.0000
0.2668 0.7370 0.5000
0.7332 0.2630 0.5000
0.7370 0.2668 0.0000
0.0000 0.5000 0.1744
0.0000 0.5000 0.8256
0.1495 0.3031 0.5000
0.3031 0.1495 0.0000
0.5000 0.0000 0.3256
0.5000 0.0000 0.6744
0.6969 0.8505 0.0000
0.8505 0.6969 0.5000

=====

Entry 7:
PBE Ca2GaSe, optimized geometry; polymorph energy (0 for the lowest one) = 0.92 eV per formula unit; raw formation energy = -76.5 kJ per mole of atoms; N(E_F) = 1.51 states/eV/f.u.; E_tot = -3.42 eV per atom; mass density = 3.2 g cm⁻³
1.0
-3.9551 3.9551 3.7680
3.9551 -3.9551 3.7680
3.9551 3.9551 -3.7680
Ca Ga Se
4 2 2
direct
0.1033 0.1250 0.4783
0.3750 0.8967 0.0217
0.6467 0.6250 0.5217
0.8750 0.3533 0.9783
0.2500 0.7500 0.5000
0.5000 0.5000 0.0000
0.0000 0.0000 0.0000
0.7500 0.2500 0.5000

=====

Entry 8:
PBE CaGaSe3, optimized geometry; polymorph energy (0 for the lowest one) = 0.00 eV per formula unit; raw formation energy = -56.6 kJ per mole of atoms; N(E_F) = 3.15 states/eV/f.u.; E_tot = -3.68 eV per atom; mass density = 4.5 g cm⁻³
1.0
5.0345 0.0000 0.0000
0.0000 5.0345 0.0000
0.0000 0.0000 5.0345
Ca Ga Se
1 1 3
direct
0.0000 0.0000 0.0000
0.5000 0.5000 0.5000
0.0000 0.5000 0.5000
0.5000 0.0000 0.5000
0.5000 0.5000 0.0000

=====

Entry 9:
PBE CaGaSe3, optimized geometry; polymorph energy (0 for the lowest one) = 2.48 eV per formula unit; raw formation energy = -8.7 kJ per mole of atoms; N(E_F) = 4.18 states/eV/f.u.; E_tot = -3.19 eV per atom; mass density = 3.4 g cm⁻³
1.0
5.5592 0.0000 0.0000
0.0000 5.5592 0.0000
0.0000 0.0000 5.5592
Ca Ga Se
1 1 3
direct
0.0000 0.0000 0.0000
0.5000 0.5000 0.5000
0.0000 0.0000 0.5000
0.0000 0.5000 0.0000
0.5000 0.0000 0.0000

=====

Entry 10:
PBE CaGa2SnSe6, optimized geometry; raw formation energy = -66.6 kJ per mole of atoms; E_tot = -3.99 eV per atom; mass density = 4.4 g cm⁻³
1.0
6.7745 -6.2814 0.0000
6.7745 6.2814 0.0000
-2.6921 0.0000 6.8514
Ca Ga Sn Se
2 4 2 12
direct
0.1237 0.8763 0.7500
0.8763 0.1237 0.2500
0.2558 0.3878 0.7941
0.3878 0.2558 0.2941
0.6122 0.7442 0.7059
0.7442 0.6122 0.2059
0.1996 0.8004 0.2500
0.8004 0.1996 0.7500
0.0562 0.1826 0.6539
0.1100 0.6143 0.9098
0.1826 0.0562 0.1539
0.2920 0.4554 0.5119
0.3857 0.8900 0.5902
0.4554 0.2920 0.0119
0.5446 0.7080 0.9881
0.6143 0.1100 0.4098
0.7080 0.5446 0.4881
0.8174 0.9438 0.8461
0.8900 0.3857 0.0902
0.9438 0.8174 0.3461

=====

Entry 11:
PBE Ca2TaGaSe, optimized geometry; raw formation energy = 46.1 kJ per mole of atoms; N(E_F) = 5.93 states/eV/f.u.; E_tot = -4.00 eV per atom; mass density = 4.6 g cm⁻³
1.0
5.3659 0.0000 0.0000
0.0000 5.3659 0.0000
0.0000 0.0000 5.1341
Ca Ta Ga Se
2 1 1 1
direct
0.0000 0.5000 0.0000
0.5000 0.0000 0.0000
0.0000 0.0000 0.5000
0.5000 0.5000 0.5000
0.5000 0.5000 0.0000

=====

Entry 12:
PBE CaGa2TeSe6, optimized geometry; raw formation energy = -57.3 kJ per mole of atoms; E_tot = -3.80 eV per atom; mass density = 4.7 g cm⁻³
1.0
6.9660 -5.4111 0.0000
6.9660 5.4111 0.0000
-2.7787 0.0000 7.2653
Ca Ga Te Se
2 4 2 12
direct
0.1565 0.8435 0.7500
0.8435 0.1565 0.2500
0.2162 0.3758 0.7965
0.3758 0.2162 0.2965
0.6242 0.7838 0.7035
0.7838 0.6242 0.2035
0.2527 0.7473 0.2500
0.7473 0.2527 0.7500
0.0245 0.1807 0.6483
0.0587 0.6364 0.9035
0.1807 0.0245 0.1483
0.3087 0.4315 0.5539
0.3636 0.9413 0.5965
0.4315 0.3087 0.0539
0.5685 0.6913 0.9461
0.6364 0.0587 0.4035
0.6913 0.5685 0.4461
0.8193 0.9755 0.8517
0.9413 0.3636 0.0965
0.9755 0.8193 0.3517

=====

Entry 13:
PBE CaTi2GaSe, optimized geometry; raw formation energy = 35.0 kJ per mole of atoms; N(E_F) = 3.06 states/eV/f.u.; E_tot = -4.50 eV per atom; mass density = 3.7 g cm⁻³
1.0
4.8557 0.0000 0.0000
0.0000 4.8557 0.0000
0.0000 0.0000 5.4655
Ca Ti Ga Se
1 2 1 1
direct
0.0000 0.0000 0.0000
0.0000 0.5000 0.5000
0.5000 0.0000 0.5000
0.5000 0.5000 0.5000
0.5000 0.5000 0.0000

=====

Entry 14:
PBE CaY2GaSe, optimized geometry; raw formation energy = -52.9 kJ per mole of atoms; N(E_F) = 2.84 states/eV/f.u.; E_tot = -4.84 eV per atom; mass density = 4.0 g cm⁻³
1.0
5.3483 0.0000 0.0000
0.0000 5.3483 0.0000
0.0000 0.0000 5.3308
Ca Y Ga Se
1 2 1 1
direct
0.0000 0.0000 0.0000
0.0000 0.5000 0.5000
0.5000 0.0000 0.5000
0.5000 0.5000 0.0000
0.0000 0.0000 0.5000

=====

Entry 15:
PBE CaZrGa2Se, optimized geometry; raw formation energy = 59.6 kJ per mole of atoms; N(E_F) = 5.45 states/eV/f.u.; E_tot = -3.40 eV per atom; mass density = 4.2 g cm⁻³
1.0
5.2135 0.0000 0.0000
0.0000 5.2135 0.0000
0.0000 0.0000 5.1092
Ca Zr Ga Se
1 1 2 1
direct
0.0000 0.0000 0.0000
0.5000 0.5000 0.5000
0.0000 0.5000 0.0000
0.5000 0.0000 0.0000
0.0000 0.0000 0.5000

=====

Entry 16:
PBE Ca3GaSi2, optimized geometry; raw formation energy = -35.2 kJ per mole of atoms; N(E_F) = 0.14 states/eV/f.u.; E_tot = -3.68 eV per atom; mass density = 2.8 g cm⁻³
1.0
8.3850 0.0000 0.0000
0.0000 9.5029 0.0000
-2.9990 0.0000 7.4039
Ca Ga Si
12 4 8
direct
0.1232 0.1580 0.4450
0.1232 0.3420 0.9450
0.2206 0.5234 0.5392
0.2206 0.9766 0.0392
0.3408 0.6228 0.2224
0.3408 0.8772 0.7224
0.6592 0.1228 0.2776
0.6592 0.3772 0.7776
0.7794 0.0234 0.9608
0.7794 0.4766 0.4608
0.8768 0.6580 0.0550
0.8768 0.8420 0.5550
0.4592 0.6207 0.9223
0.4592 0.8793 0.4223
0.5408 0.1207 0.5777
0.5408 0.3793 0.0777
0.1219 0.6506 0.8269
0.1219 0.8494 0.3269
0.4063 0.1807 0.8281
0.4063 0.3193 0.3281
0.5937 0.6807 0.6719
0.5937 0.8193 0.1719
0.8781 0.1506 0.6731
0.8781 0.3494 0.1731

=====

Entry 17:
PBE CaGa3Si3, optimized geometry; raw formation energy = 7.4 kJ per mole of atoms; N(E_F) = 2.30 states/eV/f.u.; E_tot = -3.83 eV per atom; mass density = 3.4 g cm⁻³
1.0
6.8973 0.0000 0.0000
0.0000 6.8973 0.0000
0.0000 0.0000 6.8973
Ca Ga Si
2 6 6
direct
0.0000 0.0000 0.0000
0.5000 0.5000 0.5000
0.0000 0.2500 0.5000
0.0000 0.7500 0.5000
0.2500 0.5000 0.0000
0.5000 0.0000 0.2500
0.5000 0.0000 0.7500
0.7500 0.5000 0.0000
0.0000 0.5000 0.2500
0.0000 0.5000 0.7500
0.2500 0.0000 0.5000
0.5000 0.2500 0.0000
0.5000 0.7500 0.0000
0.7500 0.0000 0.5000

=====

Entry 18:
PBE Ca3Ga2Si3, optimized geometry; raw formation energy = -39.0 kJ per mole of atoms; N(E_F) = 3.46 states/eV/f.u.; E_tot = -3.95 eV per atom; mass density = 3.2 g cm⁻³
1.0
2.1157 -5.6169 0.0000
2.1157 5.6169 0.0000
0.0000 0.0000 15.0486
Ca Ga Si
6 4 6
direct
0.0460 0.9540 0.7500
0.3460 0.6540 0.6021
0.3460 0.6540 0.8979
0.6540 0.3460 0.1021
0.6540 0.3460 0.3979
0.9540 0.0460 0.2500
0.3700 0.6300 0.1206
0.3700 0.6300 0.3794
0.6300 0.3700 0.6206
0.6300 0.3700 0.8794
0.0842 0.9158 0.5449
0.0842 0.9158 0.9551
0.2307 0.7693 0.2500
0.7693 0.2307 0.7500
0.9158 0.0842 0.0449
0.9158 0.0842 0.4551

=====

Entry 19:
PBE Ca4GaSi3, optimized geometry; raw formation energy = -51.2 kJ per mole of atoms; N(E_F) = 2.48 states/eV/f.u.; E_tot = -3.94 eV per atom; mass density = 2.7 g cm⁻³
1.0
4.0175 0.0000 0.0000
0.0000 4.5012 0.0000
0.0000 0.0000 10.8525
Ca Ga Si
4 1 3
direct
0.0000 0.0000 0.0000
0.0000 0.5000 0.4938
0.5000 0.0000 0.2742
0.5000 0.5000 0.7753
0.0000 0.0000 0.7046
0.0000 0.5000 0.2027
0.5000 0.0000 0.5631
0.5000 0.5000 0.0696

=====

Entry 20:
PBE CaGaSi, optimized geometry; raw formation energy = -41.7 kJ per mole of atoms; N(E_F) = 1.07 states/eV/f.u.; E_tot = -3.92 eV per atom; mass density = 3.5 g cm⁻³
1.0
-2.1063 4.3843 3.5431
2.1063 -4.3843 3.5431
2.1063 4.3843 -3.5431
Ca Ga Si
2 2 2
direct
0.0000 0.0000 0.0000
0.5000 0.0000 0.5000
0.4173 0.6673 0.7500
0.5827 0.3327 0.2500
0.0789 0.3289 0.7500
0.9211 0.6711 0.2500

=====

Entry 21:
PBE CaGa2Si2, optimized geometry; raw formation energy = -1.8 kJ per mole of atoms; N(E_F) = 2.10 states/eV/f.u.; E_tot = -3.80 eV per atom; mass density = 4.0 g cm⁻³
1.0
7.5433 0.0000 0.0000
0.0000 7.5433 0.0000
0.0000 0.0000 3.4045
Ca Ga Si
2 4 4
direct
0.0000 0.0000 0.0000
0.5000 0.5000 0.0000
0.1612 0.3388 0.5000
0.3388 0.8388 0.5000
0.6612 0.1612 0.5000
0.8388 0.6612 0.5000
0.1201 0.6201 0.0000
0.3799 0.1201 0.0000
0.6201 0.8799 0.0000
0.8799 0.3799 0.0000

=====

Entry 22:
PBE CaGa2Si2, optimized geometry; raw formation energy = -14.5 kJ per mole of atoms; N(E_F) = 2.50 states/eV/f.u.; E_tot = -3.93 eV per atom; mass density = 3.9 g cm⁻³
1.0
-2.2789 2.2789 4.8100
2.2789 -2.2789 4.8100
2.2789 2.2789 -4.8100
Ca Ga Si
1 2 2
direct
0.0000 0.0000 0.0000
0.3706 0.3706 0.0000
0.6294 0.6294 0.0000
0.2500 0.7500 0.5000
0.7500 0.2500 0.5000